# La2PrDy8, relaxed, DFT PBE
data_La2PrDy8
_space_group_name_H-M_alt 'I m m m'
_space_group_IT_number 71
_space_group_name_Hall '-I 2 2'
_cell_length_a 5.5796
_cell_length_b 8.1936
_cell_length_c 16.1278
_cell_angle_alpha 90.00
_cell_angle_beta 90.00
_cell_angle_gamma 90.00
loop_
_atom_site_label
_atom_site_fract_x
_atom_site_fract_y
_atom_site_fract_z
_atom_site_occupancy
La1 0.0000 0.0000 0.2005 1
Pr1 0.0000 0.0000 0.5000 1
Dy1 0.0000 0.2064 0.0000 1
Dy2 0.0000 0.2939 0.3635 1
Dy3 0.0000 0.5000 0.1599 1
# DFT formation energy (eV per atom): 0.118
# Energy above the most stable polymorph in this dataset (eV/atom): 0.089

# Tb2HfTl3Te6, relaxed, DFT PBE
data_Tb2HfTl3Te6
_space_group_name_H-M_alt 'C 1 2/m 1'
_space_group_IT_number 12
_cell_length_a 7.5101
_cell_length_b 12.9896
_cell_length_c 8.6367
_cell_angle_alpha 90.00
_cell_angle_beta 106.83
_cell_angle_gamma 90.00
loop_
_space_group_symop_operation_xyz
'x,y,z'
'-x,-y,-z'
'-x,y,-z'
'x,-y,z'
'x+1/2,y+1/2,z'
'-x+1/2,-y+1/2,-z'
'-x+1/2,y+1/2,-z'
'x+1/2,-y+1/2,z'
loop_
_atom_site_label
_atom_site_fract_x
_atom_site_fract_y
_atom_site_fract_z
_atom_site_occupancy
Tb1 0.0000 0.1657 0.0000 1
Hf1 0.0000 0.5000 0.0000 1
Tl1 0.0000 0.0000 0.5000 1
Tl2 0.0000 0.3271 0.5000 1
Te1 0.2281 0.3416 0.2099 1
Te2 0.2443 0.5000 0.7851 1
# Formation energy from raw total energies (eV/atom): -0.87

# Li13Ga3, relaxed, DFT PBE
data_Li13Ga3
_space_group_name_H-M_alt 'A m m 2'
_space_group_IT_number 38
_cell_length_a 9.1139
_cell_length_b 9.1462
_cell_length_c 6.4013
_cell_angle_alpha 90.00
_cell_angle_beta 90.00
_cell_angle_gamma 90.00
loop_
_space_group_symop_operation_xyz
'x,y,z'
'-x,-y,z'
'-x,y,z'
'x,-y,z'
'x,y+1/2,z+1/2'
'-x,-y+1/2,z+1/2'
'-x,y+1/2,z+1/2'
'x,-y+1/2,z+1/2'
loop_
_atom_site_label
_atom_site_fract_x
_atom_site_fract_y
_atom_site_fract_z
_atom_site_occupancy
Li1 0.0000 0.0000 0.0000 1
Li2 0.0000 0.0000 0.5281 1
Li3 0.0000 0.2182 0.2621 1
Li4 0.2529 0.2383 0.0076 1
Li5 0.2615 0.0000 0.7506 1
Li6 0.5000 0.0000 0.4970 1
Li7 0.5000 0.2372 0.2603 1
Ga1 0.2463 0.0000 0.2671 1
Ga2 0.5000 0.0000 0.0105 1
# DFT formation energy (eV per atom): -0.150
# Energy above the most stable polymorph in this dataset (eV/atom): 0.000

Calculated D(E_F) in order - 1.33, 0.39, 0.32 states/eV/atom